The following is a DFT calculation (PBEsol) of a relaxed structure of TbGeRh.

Summary:
ΔH_f (0 K) = -3.02 eV/f.u.
calculated volume = 218.7 Å³/cell
mass density = 10.16 g/cm³
magnetization = 0.000 μB/f.u.

Cell lengths 4.286, 6.883, 7.413 Å; angles 90.00, 90.00, 90.00 degrees
Positions (direct):
Ge 0.250 0.791 0.605
Ge 0.750 0.709 0.105
Ge 0.250 0.291 0.895
Ge 0.750 0.209 0.395
Tb 0.250 0.498 0.307
Tb 0.750 0.002 0.807
Tb 0.750 0.502 0.693
Tb 0.250 0.998 0.193
Rh 0.250 0.156 0.569
Rh 0.750 0.844 0.431
Rh 0.250 0.656 0.931
Rh 0.750 0.344 0.069